Record 1
This record from Alexandria via LeMat-Bulk describes crystalline MgCoSb3 at its relaxed geometry. The functional is PBE.

POSCAR file:
```
MgCoSb3
1.0
5.0163 0.0000 0.0000
0.0000 5.0163 0.0000
0.0000 0.0000 5.0163
Sb Co Mg
3 1 1
direct
0.0000 0.5000 0.0000
0.0000 0.0000 0.5000
0.5000 0.0000 0.0000
0.0000 0.0000 0.0000
0.5000 0.5000 0.5000
```

Formation energy without anion corrections (eV per atom): 0.2838



Record 2
This record from Alexandria via LeMat-Bulk describes crystalline La3TbPrTm at its relaxed geometry. The functional is PBE.

POSCAR file:
```
La3TbPrTm
1.0
-1.2041 -0.7403 -5.0347
-6.8708 -3.7271 2.1912
-0.7280 10.8459 -1.4208
La Pr Tb Tm
6 2 2 2
direct
0.7500 0.3795 0.2061
0.7500 0.3716 0.5421
0.2500 0.6284 0.4579
0.2500 0.6205 0.7939
0.2500 0.1286 0.9570
0.7500 0.8714 0.0430
0.7500 0.8786 0.7081
0.2500 0.1214 0.2919
0.2500 0.1251 0.6245
0.7500 0.8749 0.3755
0.2500 0.6262 0.1250
0.7500 0.3738 0.8750
```

Energy of formation from the pure elements (eV per atom): 0.031



Record 3
This record from Alexandria via LeMat-Bulk describes crystalline Ce2BC2 at its relaxed geometry. The functional is PBE.

POSCAR file:
```
Ce2BC2
1.0
5.3094 -0.3932 -0.7658
-2.6619 5.0813 -2.1386
-0.8292 -1.0552 6.2995
C Ce B
4 4 2
direct
0.3447 0.9163 0.1025
0.2552 0.4229 0.6478
0.6544 0.0818 0.8938
0.7440 0.5752 0.3486
0.7293 0.3716 0.6212
0.8591 0.9074 0.1847
0.2699 0.6265 0.3751
0.1400 0.0907 0.8117
0.6384 0.2364 0.1619
0.3608 0.7617 0.8345
```

Energy of formation from the pure elements (eV per atom): -0.200



Record 4
This record from Alexandria via LeMat-Bulk describes crystalline ZrTl2InSe5 at its relaxed geometry. The functional is PBE.

POSCAR file:
```
ZrTl2InSe5
1.0
-1.1333 3.4078 -1.7155
3.1591 -5.0399 -7.4816
-12.9729 -5.2811 -1.9203
Se Tl Zr In
10 4 2 2
direct
0.4873 0.9745 0.2709
0.5127 0.0255 0.7709
0.0758 0.1517 0.0518
0.9242 0.8483 0.5518
0.2677 0.5354 0.6640
0.3723 0.7446 0.0034
0.2825 0.5650 0.3992
0.6277 0.2554 0.5034
0.7323 0.4646 0.1640
0.7175 0.4350 0.8992
0.8983 0.7966 0.1568
0.8782 0.7563 0.8115
0.1017 0.2034 0.6568
0.1218 0.2437 0.3115
0.7658 0.5316 0.5349
0.2342 0.4684 0.0349
0.5777 0.1553 0.9315
0.4223 0.8447 0.4315
```

Formation energy without anion corrections (eV per atom): -0.6937



Number 1: mass density 5.90 g/cm3, uncorrected energy -3.930 eV per atom, Fermi-level density of states 5.18 states/eV/cell. Number 2: mass density 7.01 g/cm3, uncorrected energy -4.747 eV per atom, Fermi-level density of states 22.17 states/eV/cell. Number 3: mass density 7.20 g/cm3, uncorrected energy -7.599 eV per atom, Fermi-level density of states 10.96 states/eV/cell. Number 4: mass density 6.37 g/cm3, uncorrected energy -4.409 eV per atom, Fermi-level density of states 3.84 states/eV/cell.